Record 1
Below is an optimized crystal structure of Zr2Ge2Ir, with properties calculated at the PBEsol level.

```
Zr2Ge2Ir
1.0
6.385 0.000 0.000
0.000 6.385 0.000
0.000 0.000 4.210
Zr Ge Ir
4 4 2
Direct
0.169 0.331 0.000
0.331 0.831 0.000
0.669 0.169 0.000
0.831 0.669 0.000
0.138 0.638 0.500
0.362 0.138 0.500
0.638 0.862 0.500
0.862 0.362 0.500
0.000 0.000 0.500
0.500 0.500 0.500
```

Calculated values
calculated total energy = -8.4532 eV/atom
energy of formation from the pure elements = -0.877 eV/atom
SG = P4/mbm


Record 2
Below is an optimized crystal structure of ZrGeIr, with properties calculated at the PBEsol level.

```
ZrGeIr
1.0
6.549 0.000 0.000
0.000 4.021 0.000
0.000 0.000 7.509
Zr Ge Ir
4 4 4
Direct
0.021 0.250 0.187
0.479 0.750 0.687
0.521 0.250 0.313
0.979 0.750 0.813
0.231 0.750 0.381
0.269 0.250 0.881
0.731 0.750 0.119
0.769 0.250 0.619
0.150 0.250 0.564
0.350 0.750 0.064
0.650 0.250 0.936
0.850 0.750 0.436
```

Calculated values
calculated total energy = -8.8957 eV/atom
energy of formation from the pure elements = -0.945 eV/atom
SG = Pnma


Record 3
Below is an optimized crystal structure of ZrGeIr, with properties calculated at the PBEsol level.

```
ZrGeIr
1.0
-2.156 3.050 3.760
2.156 -3.050 3.760
2.156 3.050 -3.760
Zr Ge Ir
2 2 2
Direct
0.000 0.000 0.000
0.525 0.025 0.500
0.125 0.347 0.779
0.568 0.347 0.221
0.420 0.680 0.740
0.940 0.680 0.260
```

Calculated values
calculated total energy = -8.8192 eV/atom
energy of formation from the pure elements = -0.868 eV/atom
SG = Imm2


Record 4
Below is an optimized crystal structure of K3Ge17, with properties calculated at the PBEsol level.

```
K3Ge17
1.0
0.000 7.807 7.807
7.807 0.000 7.807
7.807 7.807 0.000
K Ge
6 34
Direct
0.000 0.000 0.000
0.000 0.000 0.500
0.000 0.500 0.000
0.375 0.375 0.375
0.500 0.000 0.000
0.625 0.625 0.625
0.007 0.237 0.628
0.007 0.628 0.237
0.007 0.628 0.628
0.125 0.125 0.125
0.157 0.781 0.781
0.219 0.219 0.219
0.219 0.219 0.843
0.219 0.843 0.219
0.237 0.007 0.628
0.237 0.628 0.007
0.237 0.628 0.628
0.372 0.372 0.763
0.372 0.372 0.993
0.372 0.763 0.372
0.372 0.763 0.993
0.372 0.993 0.372
0.372 0.993 0.763
0.628 0.007 0.237
0.628 0.007 0.628
0.628 0.237 0.007
0.628 0.237 0.628
0.628 0.628 0.007
0.628 0.628 0.237
0.763 0.372 0.372
0.763 0.372 0.993
0.763 0.993 0.372
0.781 0.157 0.781
0.781 0.781 0.157
0.781 0.781 0.781
0.843 0.219 0.219
0.875 0.875 0.875
0.993 0.372 0.372
0.993 0.372 0.763
0.993 0.763 0.372
```

Calculated values
calculated total energy = -4.4659 eV/atom
energy of formation from the pure elements = -0.098 eV/atom
SG = Fd-3m


Record 5
Below is an optimized crystal structure of K2LaGe2, with properties calculated at the PBEsol level.

```
K2LaGe2
1.0
-2.759 2.759 5.028
2.759 -2.759 5.028
2.759 2.759 -5.028
K La Ge
2 1 2
Direct
0.135 0.135 0.000
0.865 0.865 0.000
0.500 0.500 0.000
0.250 0.750 0.500
0.750 0.250 0.500
```

Calculated values
calculated total energy = -3.1296 eV/atom
energy of formation from the pure elements = 0.369 eV/atom
SG = I4/mmm


Record 6
Below is an optimized crystal structure of KLaGeS4, with properties calculated at the PBEsol level.

```
KLaGeS4
1.0
6.620 0.000 0.000
0.000 6.662 0.000
-2.597 0.000 8.280
K La Ge S
2 2 2 8
Direct
0.233 0.000 0.435
0.767 0.500 0.565
0.268 0.016 0.946
0.732 0.516 0.054
0.282 0.487 0.184
0.718 0.987 0.816
0.084 0.484 0.345
0.087 0.440 0.928
0.478 0.744 0.770
0.483 0.758 0.216
0.517 0.258 0.784
0.522 0.244 0.230
0.913 0.940 0.072
0.916 0.984 0.655
```

Calculated values
ΔE_f (raw) = -893 kJ/mol of formula units
calculated total energy = -5.4582 eV/atom
SG = P2_1


Record 7
Below is an optimized crystal structure of KLaGeSe4, with properties calculated at the PBEsol level.

```
KLaGeSe4
1.0
6.842 0.000 0.000
0.000 6.988 0.000
-2.790 0.000 8.568
K La Ge Se
2 2 2 8
Direct
0.248 0.000 0.438
0.752 0.500 0.562
0.268 0.006 0.946
0.732 0.506 0.054
0.284 0.475 0.182
0.716 0.975 0.818
0.080 0.421 0.921
0.086 0.471 0.351
0.465 0.729 0.767
0.491 0.752 0.219
0.509 0.252 0.781
0.535 0.229 0.233
0.914 0.971 0.649
0.920 0.921 0.079
```

Calculated values
ΔE_f (raw) = -792 kJ/mol of formula units
calculated total energy = -5.0039 eV/atom
SG = P2_1


Record 8
Below is an optimized crystal structure of KMg2Ge2, with properties calculated at the PBEsol level.

```
KMg2Ge2
1.0
-2.314 2.314 5.566
2.314 -2.314 5.566
2.314 2.314 -5.566
K Mg Ge
1 2 2
Direct
0.000 0.000 0.000
0.250 0.750 0.500
0.750 0.250 0.500
0.389 0.389 0.000
0.611 0.611 0.000
```

Calculated values
calculated total energy = -3.1013 eV/atom
energy of formation from the pure elements = -0.212 eV/atom
SG = I4/mmm


Record 9
Below is an optimized crystal structure of K2MgGeO4, with properties calculated at the PBEsol level.

```
K2MgGeO4
1.0
11.163 0.000 0.000
0.000 5.571 0.000
0.000 0.000 15.847
K Mg Ge O
16 8 8 32
Direct
0.012 0.009 0.121
0.013 0.509 0.500
0.232 0.547 0.875
0.236 0.041 0.742
0.264 0.041 0.242
0.268 0.547 0.375
0.487 0.509 0.000
0.488 0.009 0.621
0.512 0.991 0.121
0.513 0.491 0.500
0.732 0.453 0.875
0.736 0.959 0.742
0.764 0.959 0.242
0.768 0.453 0.375
0.987 0.491 0.000
0.988 0.991 0.621
0.011 0.515 0.249
0.237 0.030 0.996
0.263 0.030 0.496
0.489 0.515 0.749
0.511 0.485 0.249
0.737 0.970 0.996
0.763 0.970 0.496
0.989 0.485 0.749
0.009 0.016 0.371
0.235 0.525 0.625
0.265 0.525 0.125
0.491 0.016 0.871
0.509 0.984 0.371
0.735 0.475 0.625
0.765 0.475 0.125
0.991 0.984 0.871
0.015 0.292 0.851
0.026 0.819 0.778
0.086 0.896 0.955
0.099 0.390 0.659
0.159 0.082 0.398
0.175 0.581 0.215
0.194 0.326 0.054
0.198 0.798 0.575
0.302 0.798 0.075
0.306 0.326 0.554
0.325 0.581 0.715
0.341 0.082 0.898
0.401 0.390 0.159
0.414 0.896 0.455
0.474 0.819 0.278
0.485 0.292 0.351
0.515 0.708 0.851
0.526 0.181 0.778
0.586 0.104 0.955
0.599 0.610 0.659
0.659 0.918 0.398
0.675 0.419 0.215
0.694 0.674 0.054
0.698 0.202 0.575
0.802 0.202 0.075
0.806 0.674 0.554
0.825 0.419 0.715
0.841 0.918 0.898
0.901 0.610 0.159
0.914 0.104 0.455
0.974 0.181 0.278
0.985 0.708 0.351
```

Calculated values
ΔE_f (raw) = -1567 kJ/mol of formula units
calculated total energy = -5.7699 eV/atom
SG = Pca2_1


Record 10
Below is an optimized crystal structure of KMg2GeOs, with properties calculated at the PBEsol level.

```
KMg2GeOs
1.0
5.143 0.000 0.000
0.000 5.143 0.000
0.000 0.000 4.667
K Mg Ge Os
1 2 1 1
Direct
0.000 0.000 0.000
0.000 0.500 0.500
0.500 0.000 0.500
0.500 0.500 0.500
0.500 0.500 0.000
```

Calculated values
calculated total energy = -3.6999 eV/atom
energy of formation from the pure elements = 0.645 eV/atom
SG = P4/mmm


Record 11
Below is an optimized crystal structure of K2MgZrGe, with properties calculated at the PBEsol level.

```
K2MgZrGe
1.0
6.309 0.000 0.000
0.000 6.309 0.000
0.000 0.000 4.945
K Mg Zr Ge
2 1 1 1
Direct
0.000 0.500 0.000
0.500 0.000 0.000
0.000 0.000 0.500
0.500 0.500 0.500
0.000 0.000 0.000
```

Calculated values
calculated total energy = -2.5758 eV/atom
energy of formation from the pure elements = 1.027 eV/atom
SG = P4/mmm


Record 12
Below is an optimized crystal structure of KMnGe2Ru, with properties calculated at the PBEsol level.

```
KMnGe2Ru
1.0
5.012 0.000 0.000
0.000 5.012 0.000
0.000 0.000 4.382
K Mn Ge Ru
1 1 2 1
Direct
0.000 0.000 0.000
0.000 0.000 0.500
0.000 0.500 0.000
0.500 0.000 0.000
0.500 0.500 0.500
```

Calculated values
calculated total energy = -3.6655 eV/atom
energy of formation from the pure elements = 2.523 eV/atom
SG = P4/mmm